Entry 1:
Entry from Alexandria via LeMat-Bulk: a relaxed HoHg2Pb2 crystal (PBE).

Calculated values
DFT total energy: -2.723 eV per atom
Volume: 267.0 Å³/cell
Energy of formation from the pure elements: -1.0 eV/f.u.

Cell lengths 4.772, 4.743, 12.034 Å; angles 90.00, 101.44, 90.00 degrees
Positions (direct):
Ho: 0.363 0.250 0.726
Ho: 0.637 0.750 0.274
Hg: 0.046 0.750 0.091
Hg: 0.456 0.750 0.912
Hg: 0.954 0.250 0.909
Hg: 0.544 0.250 0.088
Pb: 0.749 0.250 0.499
Pb: 0.251 0.750 0.501
Pb: 0.858 0.750 0.716
Pb: 0.142 0.250 0.284

Entry 2:
Entry from Alexandria via LeMat-Bulk: a relaxed Dy3TmFe crystal (PBE).

Calculated values
DFT total energy: -5.217 eV per atom
Volume: 144.4 Å³/cell
Energy of formation from the pure elements: 0.7 eV/f.u.

Cell lengths 5.247, 5.247, 5.247 Å; angles 90.00, 90.00, 90.00 degrees
Positions (direct):
Tm: 0.500 0.500 0.500
Fe: 0.000 0.000 0.000
Dy: 0.000 0.500 0.000
Dy: 0.000 0.000 0.500
Dy: 0.500 0.000 0.000

Entry 3:
Entry from Alexandria via LeMat-Bulk: a relaxed Ca2YTe crystal (PBE).

Calculated values
DFT total energy: -3.925 eV per atom
ΔE_f (raw): -50 kJ per mole of atoms
Volume: 130.4 Å³/cell

Cell lengths 6.898, 6.898, 6.898 Å; angles 146.61, 133.27, 58.65 degrees
Positions (direct):
Y: 0.750 0.250 0.500
Ca: 0.037 0.037 0.000
Ca: 0.463 0.463 0.000
Te: 0.250 0.750 0.500

Entry 4:
Entry from Alexandria via LeMat-Bulk: a relaxed TbNiPt crystal (PBE).

Calculated values
DFT total energy: -6.030 eV per atom
Volume: 54.3 Å³/cell
Energy of formation from the pure elements: -1.6 eV/f.u.

Cell lengths 3.479, 3.479, 5.115 Å; angles 109.88, 109.88, 90.00 degrees
Positions (direct):
Ni: 0.937 0.937 0.875
Tb: 0.618 0.618 0.235
Pt: 0.295 0.295 0.590

Entry 5:
Entry from Alexandria via LeMat-Bulk: a relaxed ErLuScAl crystal (PBE).

Calculated values
DFT total energy: -4.894 eV per atom
Volume: 97.8 Å³/cell
Energy of formation from the pure elements: -0.4 eV/f.u.

Cell lengths 5.171, 5.171, 5.171 Å; angles 60.00, 60.00, 60.00 degrees
Positions (direct):
Sc: 0.000 0.000 0.000
Lu: 0.750 0.750 0.750
Al: 0.500 0.500 0.500
Er: 0.250 0.250 0.250

Entry 6:
Entry from Alexandria via LeMat-Bulk: a relaxed Ca2LaSm crystal (PBE).

Calculated values
DFT total energy: -3.289 eV per atom
Volume: 152.2 Å³/cell
Energy of formation from the pure elements: 0.5 eV/f.u.

Cell lengths 5.993, 5.993, 5.993 Å; angles 60.00, 60.00, 60.00 degrees
Positions (direct):
Ca: 0.250 0.250 0.250
Ca: 0.750 0.750 0.750
Sm: 0.000 0.000 0.000
La: 0.500 0.500 0.500

Entry 7:
Entry from Alexandria via LeMat-Bulk: a relaxed Ac2CdIn12Pt3 crystal (PBE).

Calculated values
DFT total energy: -3.478 eV per atom
Volume: 552.0 Å³/cell
Energy of formation from the pure elements: -2.5 eV/f.u.

Cell lengths 8.759, 8.759, 8.759 Å; angles 67.59, 67.59, 67.59 degrees
Positions (direct):
Ac: 0.591 0.591 0.591
Ac: 0.409 0.409 0.409
Cd: 0.000 0.000 0.000
In: 0.275 0.275 0.861
In: 0.852 0.852 0.398
In: 0.398 0.852 0.852
In: 0.861 0.275 0.275
In: 0.852 0.398 0.852
In: 0.275 0.861 0.275
In: 0.725 0.725 0.139
In: 0.148 0.148 0.602
In: 0.602 0.148 0.148
In: 0.139 0.725 0.725
In: 0.148 0.602 0.148
In: 0.725 0.139 0.725
Pt: 0.500 0.000 0.000
Pt: 0.000 0.500 0.000
Pt: 0.000 0.000 0.500

Entry 8:
Entry from Alexandria via LeMat-Bulk: a relaxed Tb3ErPu2S6 crystal (PBE).

Calculated values
DFT total energy: -7.934 eV per atom
ΔE_f (raw): -188 kJ per mole of atoms
Volume: 256.6 Å³/cell

Cell lengths 6.788, 6.788, 6.818 Å; angles 99.53, 99.53, 120.02 degrees
Each line ends with the local moment (μB).
Positions (direct):
Tb: 0.168 0.832 0.500  0.02
Tb: 0.832 0.168 0.500  0.02
Tb: 0.500 0.500 0.500  0.02
Er: 0.000 0.000 0.000  0.08
Pu: 0.333 0.667 0.000  5.34
Pu: 0.667 0.333 0.000  5.34
S: 0.917 0.587 0.751  -0.04
S: 0.754 0.754 0.251  -0.04
S: 0.083 0.413 0.249  -0.04
S: 0.587 0.917 0.751  -0.04
S: 0.246 0.246 0.749  -0.04
S: 0.413 0.083 0.249  -0.04

Entry 9:
Entry from Alexandria via LeMat-Bulk: a relaxed Sr3Cd8Ag3 crystal (PBE).

Calculated values
DFT total energy: -1.752 eV per atom
Volume: 363.8 Å³/cell
Energy of formation from the pure elements: -3.6 eV/f.u.

Cell lengths 4.843, 9.185, 9.185 Å; angles 70.12, 74.71, 74.71 degrees
Positions (direct):
Sr: 0.500 0.500 0.500
Sr: 0.814 0.186 0.186
Sr: 0.186 0.814 0.814
Cd: 0.622 0.095 0.661
Cd: 0.378 0.905 0.339
Cd: 0.622 0.661 0.095
Cd: 0.378 0.339 0.905
Cd: 0.829 0.811 0.532
Cd: 0.171 0.189 0.468
Cd: 0.829 0.532 0.811
Cd: 0.171 0.468 0.189
Ag: 0.500 0.000 0.000
Ag: 0.000 0.792 0.208
Ag: 0.000 0.208 0.792

Entry 10:
Entry from Alexandria via LeMat-Bulk: a relaxed Mg3NbCr crystal (PBE).

Calculated values
DFT total energy: -3.671 eV per atom
Volume: 122.6 Å³/cell
Energy of formation from the pure elements: 6.1 eV/f.u.

Cell lengths 4.967, 4.967, 4.967 Å; angles 90.00, 90.00, 90.00 degrees
Each line ends with the local moment (μB).
Positions (direct):
Cr: 0.000 0.000 0.000  3.68
Nb: 0.500 0.500 0.500  -2.51
Mg: 0.000 0.500 0.000  0.04
Mg: 0.000 0.000 0.500  0.04
Mg: 0.500 0.000 0.000  0.03

Entry 11:
Entry from Alexandria via LeMat-Bulk: a relaxed AlAg2P crystal (PBE).

Calculated values
DFT total energy: -3.503 eV per atom
Volume: 68.9 Å³/cell
Energy of formation from the pure elements: 0.8 eV/f.u.

Cell lengths 5.567, 5.567, 2.957 Å; angles 74.25, 74.25, 117.88 degrees
Positions (direct):
P: 0.000 0.500 0.500
Al: 0.500 0.000 0.500
Ag: 0.000 0.000 0.000
Ag: 0.500 0.500 0.000

Entry 12:
Entry from Alexandria via LeMat-Bulk: a relaxed SrTaCdAg2 crystal (PBE).

Calculated values
DFT total energy: -2.242 eV per atom
Volume: 165.2 Å³/cell
Energy of formation from the pure elements: 8.9 eV/f.u.

Cell lengths 5.395, 5.677, 5.395 Å; angles 90.00, 90.00, 90.00 degrees
Each line ends with the local moment (μB).
Positions (direct):
Sr: 0.000 0.000 0.000  -0.03
Cd: 0.000 0.500 0.000  0.00
Ag: 0.000 0.000 0.500  -0.03
Ag: 0.500 0.000 0.000  -0.02
Ta: 0.500 0.500 0.500  2.05

Entry 13:
Entry from Alexandria via LeMat-Bulk: a relaxed Li2Sn crystal (PBE).

Calculated values
DFT total energy: -2.976 eV per atom
Volume: 57.3 Å³/cell
Energy of formation from the pure elements: -1.1 eV/f.u.

Cell lengths 3.101, 4.526, 5.436 Å; angles 65.40, 59.13, 90.00 degrees
Positions (direct):
Li: 0.732 0.665 0.670
Li: 0.268 0.335 0.330
Sn: 0.000 0.000 0.000

Entry 14:
Entry from Alexandria via LeMat-Bulk: a relaxed BaBPt crystal (PBE).

Calculated values
DFT total energy: -5.200 eV per atom
Volume: 248.9 Å³/cell
Energy of formation from the pure elements: -1.0 eV/f.u.

Cell lengths 6.290, 6.290, 6.290 Å; angles 90.00, 90.00, 90.00 degrees
Positions (direct):
B: 0.349 0.651 0.151
B: 0.151 0.349 0.651
B: 0.651 0.151 0.349
B: 0.849 0.849 0.849
Pt: 0.400 0.400 0.400
Pt: 0.100 0.600 0.900
Pt: 0.900 0.100 0.600
Pt: 0.600 0.900 0.100
Ba: 0.123 0.123 0.123
Ba: 0.623 0.377 0.877
Ba: 0.377 0.877 0.623
Ba: 0.877 0.623 0.377

Entry 15:
Entry from Alexandria via LeMat-Bulk: a relaxed K2Al2Sb crystal (PBE).

Calculated values
DFT total energy: -2.723 eV per atom
ΔE_f (raw): 4 kJ per mole of atoms
Volume: 318.7 Å³/cell

Cell lengths 7.417, 7.417, 5.794 Å; angles 90.00, 90.00, 90.00 degrees
Positions (direct):
Sb: 0.000 0.000 0.000
Sb: 0.500 0.500 0.000
K: 0.188 0.688 0.500
K: 0.688 0.812 0.500
K: 0.812 0.312 0.500
K: 0.312 0.188 0.500
Al: 0.376 0.876 0.000
Al: 0.876 0.624 0.000
Al: 0.624 0.124 0.000
Al: 0.124 0.376 0.000

Entry 16:
Entry from Alexandria via LeMat-Bulk: a relaxed Sc3TlNi crystal (PBE).

Calculated values
DFT total energy: -5.728 eV per atom
Volume: 218.5 Å³/cell
Energy of formation from the pure elements: -1.5 eV/f.u.

Cell lengths 3.630, 7.538, 8.571 Å; angles 97.19, 102.30, 103.92 degrees
Positions (direct):
Sc: 0.061 0.220 0.981
Sc: 0.535 0.717 0.433
Sc: 0.589 0.492 0.763
Sc: 0.374 0.837 0.988
Sc: 0.320 0.062 0.658
Sc: 0.848 0.335 0.441
Tl: 0.802 0.542 0.141
Tl: 0.107 0.013 0.280
Ni: 0.122 0.678 0.645
Ni: 0.787 0.877 0.777

Entry 17:
Entry from Alexandria via LeMat-Bulk: a relaxed ZnReBi2 crystal (PBE).

Calculated values
DFT total energy: -4.383 eV per atom
Volume: 253.8 Å³/cell
Energy of formation from the pure elements: 4.0 eV/f.u.

Cell lengths 6.447, 6.447, 7.621 Å; angles 64.98, 64.98, 90.00 degrees
Positions (direct):
Re: 0.000 0.000 0.000
Re: 0.750 0.250 0.500
Zn: 0.500 0.500 0.000
Zn: 0.250 0.750 0.500
Bi: 0.646 0.125 0.250
Bi: 0.104 0.625 0.250
Bi: 0.375 0.354 0.750
Bi: 0.875 0.896 0.750

Entry 18:
Entry from Alexandria via LeMat-Bulk: a relaxed Pr5ScHg6 crystal (PBE).

Calculated values
DFT total energy: -3.118 eV per atom
Volume: 331.9 Å³/cell
Energy of formation from the pure elements: -5.4 eV/f.u.

Cell lengths 5.354, 7.692, 9.322 Å; angles 65.63, 73.34, 90.00 degrees
Each line ends with the local moment (μB).
Positions (direct):
Pr: 0.674 0.174 0.652  0.14
Pr: 0.337 0.337 0.325  0.23
Pr: 0.000 0.500 0.000  0.21
Pr: 0.663 0.663 0.675  0.23
Pr: 0.326 0.826 0.348  0.14
Sc: 0.000 0.000 0.000  0.17
Hg: 0.842 0.609 0.315  0.01
Hg: 0.842 0.075 0.315  0.01
Hg: 0.500 0.779 0.000  0.01
Hg: 0.500 0.221 0.000  0.01
Hg: 0.158 0.925 0.685  0.01
Hg: 0.158 0.391 0.685  0.01

Entry 19:
Entry from Alexandria via LeMat-Bulk: a relaxed CuHgAs2 crystal (PBE).

Calculated values
DFT total energy: -2.967 eV per atom
Volume: 76.2 Å³/cell
Energy of formation from the pure elements: 1.8 eV/f.u.

Cell lengths 4.759, 4.759, 4.759 Å; angles 60.00, 60.00, 60.00 degrees
Positions (direct):
As: 0.000 0.000 0.000
As: 0.250 0.250 0.250
Cu: 0.500 0.500 0.500
Hg: 0.750 0.750 0.750

Entry 20:
Entry from Alexandria via LeMat-Bulk: a relaxed Ac5Pm12Pr crystal (PBE).

Calculated values
DFT total energy: -4.494 eV per atom
Volume: 675.3 Å³/cell
Energy of formation from the pure elements: 1.4 eV/f.u.

Cell lengths 12.275, 10.797, 6.194 Å; angles 89.74, 89.53, 55.36 degrees
Positions (direct):
Ac: 0.500 0.000 0.500
Ac: 0.166 0.668 0.500
Ac: 0.834 0.332 0.500
Ac: 0.665 0.670 0.000
Ac: 0.335 0.330 0.000
Pm: 0.820 0.000 0.434
Pm: 0.180 0.000 0.566
Pm: 0.689 0.000 0.936
Pm: 0.311 0.000 0.064
Pm: 0.347 0.668 0.946
Pm: 0.985 0.668 0.054
Pm: 0.015 0.332 0.946
Pm: 0.653 0.332 0.054
Pm: 0.518 0.333 0.555
Pm: 0.851 0.667 0.555
Pm: 0.149 0.333 0.445
Pm: 0.482 0.667 0.445
Pr: 0.000 0.000 0.000